# 1
First-principles (PBE) data for YIn2Br after structural relaxation, as listed in the Alexandria database.

As for the space-group type: P2/m. The total magnetic moment comes out at 0.0 μB/f.u. The relative energy among the computed polymorphs comes out at 161 meV per atom. The formation energy without anion corrections comes out at -41.71 kJ/mol of atoms.

Unit cell a=5.424 b=3.644 c=6.818 alpha=57.41 beta=90.00 gamma=90.00
Atoms (fractional coordinates):
In: 0.000 0.505 0.495
In: 0.000 0.995 0.005
Br: 0.500 0.750 0.750
Y: 0.500 0.250 0.250

# 2
First-principles (PBE) data for Y2InBr after structural relaxation, as listed in the Alexandria database.

As for the space-group type: I-4m2. The total magnetic moment comes out at 0.0 μB/f.u. The relative energy among the computed polymorphs comes out at 324 meV per atom. The formation energy without anion corrections comes out at -40.46 kJ/mol of atoms.

Unit cell a=6.541 b=6.541 c=6.541 alpha=140.75 beta=140.75 gamma=56.71
Atoms (fractional coordinates):
Y: 0.250 0.750 0.500
Y: 0.000 0.000 0.000
Br: 0.500 0.500 0.000
In: 0.750 0.250 0.500

# 3
First-principles (PBE) data for YIn2Br after structural relaxation, as listed in the Alexandria database.

As for the space-group type: Cmmm. The total magnetic moment comes out at 0.0 μB/f.u. The relative energy among the computed polymorphs comes out at 199 meV per atom. The formation energy without anion corrections comes out at -38.08 kJ/mol of atoms.

Unit cell a=5.625 b=5.625 c=3.580 alpha=90.00 beta=90.00 gamma=103.38
Atoms (fractional coordinates):
In: 0.000 0.000 0.000
In: 0.500 0.500 0.000
Br: 0.000 0.500 0.500
Y: 0.500 0.000 0.500